DyHfAg | PBE-GGA | relaxed

The calculation puts the total energy at -4.972 eV per atom.

The structure belongs to space group F-43m (No. 216); the cell edges are 6.7367, 6.7367 and 6.7367 Å and the angles 90.00°, 90.00° and 90.00°. The asymmetric unit holds Dy at (0.0000, 0.0000, 0.0000), Hf at (0.2500, 0.2500, 0.7500) and Ag at (0.0000, 0.0000, 0.5000).

---

DyAgHg | PBE-GGA | relaxed

The calculation puts the total energy at -2.571 eV per atom.

The structure belongs to space group F-43m (No. 216); the cell edges are 6.9132, 6.9132 and 6.9132 Å and the angles 90.00°, 90.00° and 90.00°. The asymmetric unit holds Dy at (0.0000, 0.0000, 0.0000), Ag at (0.2500, 0.2500, 0.7500) and Hg at (0.2500, 0.2500, 0.2500).

---

Dy5Ag4Hg | PBE-GGA | relaxed

The calculation puts the total energy at -3.826 eV per atom.

The structure belongs to space group P4/mmm (No. 123); the cell edges are 3.6359, 3.6359 and 18.2658 Å and the angles 90.00°, 90.00° and 90.00°. The asymmetric unit holds Dy at (0.0000, 0.0000, 0.0000), Dy at (0.0000, 0.0000, 0.1989), Dy at (0.0000, 0.0000, 0.3967), Ag at (0.5000, 0.5000, 0.0992), Ag at (0.5000, 0.5000, 0.2977) and Hg at (0.5000, 0.5000, 0.5000).

---

DyAgHg | PBE-GGA | relaxed

The calculation puts the total energy at -2.758 eV per atom.

The structure belongs to space group F-43m (No. 216); the cell edges are 6.7795, 6.7795 and 6.7795 Å and the angles 90.00°, 90.00° and 90.00°. The asymmetric unit holds Dy at (0.0000, 0.0000, 0.0000), Ag at (0.2500, 0.2500, 0.2500) and Hg at (0.0000, 0.0000, 0.5000).

---

Dy2HoZn3AgHg2 | PBE-GGA | relaxed

The calculation puts the total energy at -2.696 eV per atom.

The structure belongs to space group Amm2 (No. 38); the cell edges are 4.0300, 13.0259 and 7.5275 Å and the angles 90.00°, 90.00° and 90.00°. The asymmetric unit holds Dy at (0.0000, 0.2022, 0.0000), Ho at (0.0000, 0.0000, 0.6062), Zn at (0.5000, 0.0000, 0.9554), Zn at (0.5000, 0.1234, 0.3259), Ag at (0.0000, 0.0000, 0.2030) and Hg at (0.5000, 0.1662, 0.7021).

---

DyHo2Zn3AgHg2 | PBE-GGA | relaxed

The calculation puts the total energy at -2.693 eV per atom.

The structure belongs to space group Amm2 (No. 38); the cell edges are 4.0286, 13.0194 and 7.5069 Å and the angles 90.00°, 90.00° and 90.00°. The asymmetric unit holds Dy at (0.0000, 0.0000, 0.0000), Ho at (0.0000, 0.2022, 0.6069), Zn at (0.5000, 0.0000, 0.6519), Zn at (0.5000, 0.1236, 0.2815), Ag at (0.0000, 0.0000, 0.4055) and Hg at (0.5000, 0.1672, 0.9047).

---

La2DyMg3AgHg2 | PBE-GGA | relaxed

The calculation puts the total energy at -2.867 eV per atom.

The structure belongs to space group Amm2 (No. 38); the cell edges are 4.2861, 13.8405 and 7.9480 Å and the angles 90.00°, 90.00° and 90.00°. The asymmetric unit holds La at (0.0000, 0.2057, 0.0000), Dy at (0.0000, 0.0000, 0.6149), Mg at (0.5000, 0.0000, 0.9639), Mg at (0.5000, 0.1179, 0.3290), Ag at (0.0000, 0.0000, 0.2125) and Hg at (0.5000, 0.1596, 0.7025).

---

Dy3Mg3AgHg2 | PBE-GGA | relaxed

The calculation puts the total energy at -2.800 eV per atom.

The structure belongs to space group P-62m (No. 189); the cell edges are 7.7933, 7.7933 and 4.1394 Å and the angles 90.00°, 90.00° and 120.00°. The asymmetric unit holds Dy at (0.0000, 0.5904, 0.0000), Mg at (0.0000, 0.2460, 0.5000), Ag at (0.0000, 0.0000, 0.0000) and Hg at (0.3333, 0.6667, 0.5000).

---

Dy3Mg3Ag2Hg | PBE-GGA | relaxed

The calculation puts the total energy at -3.018 eV per atom.

The structure belongs to space group P-62m (No. 189); the cell edges are 7.6649, 7.6649 and 4.2092 Å and the angles 90.00°, 90.00° and 120.00°. The asymmetric unit holds Dy at (0.0000, 0.4152, 0.0000), Mg at (0.0000, 0.7485, 0.5000), Ag at (0.3333, 0.6667, 0.5000) and Hg at (0.0000, 0.0000, 0.0000).

---

NdDy2Mg3AgHg2 | PBE-GGA | relaxed

The calculation puts the total energy at -2.812 eV per atom.

The structure belongs to space group Amm2 (No. 38); the cell edges are 4.1936, 13.5850 and 7.8148 Å and the angles 90.00°, 90.00° and 90.00°. The asymmetric unit holds Nd at (0.0000, 0.0000, 0.0000), Dy at (0.0000, 0.2044, 0.6145), Mg at (0.5000, 0.0000, 0.6532), Mg at (0.5000, 0.1228, 0.2902), Ag at (0.0000, 0.0000, 0.4153) and Hg at (0.5000, 0.1707, 0.9089).

---

Pr2DyMg3AgHg2 | PBE-GGA | relaxed

The calculation puts the total energy at -2.827 eV per atom.

The structure belongs to space group Amm2 (No. 38); the cell edges are 4.2574, 13.7409 and 7.9248 Å and the angles 90.00°, 90.00° and 90.00°. The asymmetric unit holds Pr at (0.0000, 0.2047, 0.0000), Dy at (0.0000, 0.0000, 0.3868), Mg at (0.5000, 0.0000, 0.0382), Mg at (0.5000, 0.1194, 0.6713), Ag at (0.0000, 0.0000, 0.7893) and Hg at (0.5000, 0.1611, 0.2977).

---

SmDy2Mg3AgHg2 | PBE-GGA | relaxed

The calculation puts the total energy at -2.810 eV per atom.

The structure belongs to space group Amm2 (No. 38); the cell edges are 4.1960, 13.5563 and 7.7943 Å and the angles 90.00°, 90.00° and 90.00°. The asymmetric unit holds Sm at (0.0000, 0.0000, 0.0000), Dy at (0.0000, 0.2046, 0.6150), Mg at (0.5000, 0.0000, 0.6547), Mg at (0.5000, 0.1222, 0.2890), Ag at (0.0000, 0.0000, 0.4138) and Hg at (0.5000, 0.1692, 0.9096).

---

DyTm2Mg3AgHg2 | PBE-GGA | relaxed

The calculation puts the total energy at -2.763 eV per atom.

The structure belongs to space group Amm2 (No. 38); the cell edges are 4.1260, 13.4428 and 7.7092 Å and the angles 90.00°, 90.00° and 90.00°. The asymmetric unit holds Dy at (0.0000, 0.0000, 0.0000), Tm at (0.0000, 0.2048, 0.6149), Mg at (0.5000, 0.0000, 0.6561), Mg at (0.5000, 0.1235, 0.2876), Ag at (0.0000, 0.0000, 0.4118) and Hg at (0.5000, 0.1680, 0.9098).

---

Dy2TmMg3AgHg2 | PBE-GGA | relaxed

The calculation puts the total energy at -2.781 eV per atom.

The structure belongs to space group Amm2 (No. 38); the cell edges are 4.1381, 13.3927 and 7.7834 Å and the angles 90.00°, 90.00° and 90.00°. The asymmetric unit holds Dy at (0.0000, 0.2049, 0.0000), Tm at (0.0000, 0.0000, 0.6143), Mg at (0.5000, 0.0000, 0.9586), Mg at (0.5000, 0.1226, 0.3287), Ag at (0.0000, 0.0000, 0.2066) and Hg at (0.5000, 0.1653, 0.7046).

---

Dy2YMg3AgHg2 | PBE-GGA | relaxed

The calculation puts the total energy at -3.014 eV per atom.

The structure belongs to space group Amm2 (No. 38); the cell edges are 4.1371, 13.5064 and 7.7953 Å and the angles 90.00°, 90.00° and 90.00°. The asymmetric unit holds Dy at (0.0000, 0.2048, 0.0000), Y at (0.0000, 0.0000, 0.6144), Mg at (0.5000, 0.0000, 0.9588), Mg at (0.5000, 0.1230, 0.3279), Ag at (0.0000, 0.0000, 0.2047) and Hg at (0.5000, 0.1668, 0.7049).

---

NdDy2Zn3AgHg2 | PBE-GGA | relaxed

The calculation puts the total energy at -2.705 eV per atom.

The structure belongs to space group Amm2 (No. 38); the cell edges are 4.0871, 13.1785 and 7.5684 Å and the angles 90.00°, 90.00° and 90.00°. The asymmetric unit holds Nd at (0.0000, 0.0000, 0.0000), Dy at (0.0000, 0.2015, 0.6073), Zn at (0.5000, 0.0000, 0.6500), Zn at (0.5000, 0.1225, 0.2856), Ag at (0.0000, 0.0000, 0.4117) and Hg at (0.5000, 0.1710, 0.9047).

---

Tb2DyAg2Hg3Pd | PBE-GGA | relaxed

The calculation puts the total energy at -3.301 eV per atom.

The structure belongs to space group Amm2 (No. 38); the cell edges are 3.7503, 13.7195 and 7.9243 Å and the angles 90.00°, 90.00° and 90.00°. The asymmetric unit holds Tb at (0.0000, 0.1910, 0.0000), Dy at (0.0000, 0.0000, 0.4282), Ag at (0.5000, 0.1662, 0.3094), Hg at (0.5000, 0.0000, 0.0848), Hg at (0.5000, 0.1378, 0.6712) and Pd at (0.0000, 0.0000, 0.8086).

---

DyTm2Zn3AgHg2 | PBE-GGA | relaxed

The calculation puts the total energy at -2.666 eV per atom.

The structure belongs to space group Amm2 (No. 38); the cell edges are 4.0158, 12.9817 and 7.4530 Å and the angles 90.00°, 90.00° and 90.00°. The asymmetric unit holds Dy at (0.0000, 0.0000, 0.0000), Tm at (0.0000, 0.2023, 0.6079), Zn at (0.5000, 0.0000, 0.6533), Zn at (0.5000, 0.1237, 0.2829), Ag at (0.0000, 0.0000, 0.4081) and Hg at (0.5000, 0.1682, 0.9054).

---

DyHoAg4 | PBE-GGA | relaxed

The calculation puts the total energy at -3.746 eV per atom.

The structure belongs to space group C2/m (No. 12); the cell edges are 9.9468, 3.6939 and 7.4917 Å and the angles 90.00°, 112.16° and 90.00°. The asymmetric unit holds Dy at (0.0000, 0.0000, 0.0000), Ho at (0.0000, 0.0000, 0.5000), Ag at (0.1694, 0.5000, 0.3357) and Ag at (0.1692, 0.5000, 0.8336).

---

DyHoAg4 | PBE-GGA | relaxed

The calculation puts the total energy at -3.745 eV per atom.

The structure belongs to space group P4/mmm (No. 123); the cell edges are 3.7086, 3.7086 and 9.2343 Å and the angles 90.00°, 90.00° and 90.00°. The asymmetric unit holds Dy at (0.0000, 0.0000, 0.0000), Ho at (0.5000, 0.5000, 0.5000), Ag at (0.0000, 0.0000, 0.3305) and Ag at (0.5000, 0.5000, 0.1697).

---

DyHoAg6 | PBE-GGA | relaxed

The calculation puts the total energy at -3.533 eV per atom.

The structure belongs to space group Pmm2 (No. 25); the cell edges are 5.0122, 6.1006 and 5.2108 Å and the angles 90.00°, 90.00° and 90.00°. The asymmetric unit holds Dy at (0.0000, 0.0000, 0.0000), Ho at (0.5000, 0.5000, 0.6939), Ag at (0.0000, 0.2541, 0.5059), Ag at (0.0000, 0.5000, 0.0215), Ag at (0.5000, 0.0000, 0.6722) and Ag at (0.5000, 0.2461, 0.1880).

---

DyHo2In3Ag3 | PBE-GGA | relaxed

The calculation puts the total energy at -3.808 eV per atom.

The structure belongs to space group Amm2 (No. 38); the cell edges are 3.9052, 13.5816 and 7.8364 Å and the angles 90.00°, 90.00° and 90.00°. The asymmetric unit holds Dy at (0.0000, 0.0000, 0.0000), Ho at (0.0000, 0.2014, 0.3957), In at (0.5000, 0.0000, 0.3324), In at (0.5000, 0.1323, 0.7292), Ag at (0.0000, 0.0000, 0.5966) and Ag at (0.5000, 0.1671, 0.0972).

---

Dy2HoIn3AgIr2 | PBE-GGA | relaxed

The calculation puts the total energy at -5.339 eV per atom.

The structure belongs to space group Amm2 (No. 38); the cell edges are 3.8460, 13.3334 and 7.6992 Å and the angles 90.00°, 90.00° and 90.00°. The asymmetric unit holds Dy at (0.0000, 0.2064, 0.0000), Ho at (0.0000, 0.0000, 0.6193), In at (0.5000, 0.0000, 0.9383), In at (0.5000, 0.1340, 0.3405), Ag at (0.0000, 0.0000, 0.2064) and Ir at (0.5000, 0.1666, 0.7064).

---

Dy2HoIn3Ni2Ag | PBE-GGA | relaxed

The calculation puts the total energy at -4.459 eV per atom.

The structure belongs to space group Amm2 (No. 38); the cell edges are 3.8860, 13.0680 and 7.5481 Å and the angles 90.00°, 90.00° and 90.00°. The asymmetric unit holds Dy at (0.0000, 0.2059, 0.0000), Ho at (0.0000, 0.0000, 0.3818), In at (0.5000, 0.0000, 0.0663), In at (0.5000, 0.1358, 0.6576), Ni at (0.5000, 0.1663, 0.2939) and Ag at (0.0000, 0.0000, 0.7935).